[1]
{"formula": "La6NdSm3", "functional": "PBE", "state": "optimized geometry", "total_energy_ev_per_atom": -4.6168, "lattice": [[7.0387, 4.0638, 2.1621], [-7.0387, 4.0638, 2.1621], [0.0000, -8.1275, 2.1621]], "species": ["La", "La", "La", "La", "La", "La", "Nd", "Sm", "Sm", "Sm"], "frac_coords": [[0.0022, 0.4989, 0.4989], [0.0451, 0.0451, 0.4099], [0.0451, 0.4099, 0.0451], [0.4099, 0.0451, 0.0451], [0.4989, 0.0022, 0.4989], [0.4989, 0.4989, 0.0022], [0.3498, 0.3498, 0.3498], [0.6366, 0.8726, 0.8726], [0.8726, 0.6366, 0.8726], [0.8726, 0.8726, 0.6366]]}

=====

[2]
{"formula": "La3NdSm7", "functional": "PBE", "state": "optimized geometry", "total_energy_ev_per_atom": -4.5529, "lattice": [[-2.9979, 5.7256, 5.7325], [2.9979, -5.7256, 5.7325], [2.9979, 5.7256, -5.7325]], "species": ["La", "La", "La", "Nd", "Sm", "Sm", "Sm", "Sm", "Sm", "Sm", "Sm"], "frac_coords": [[0.0000, 0.0000, 0.0000], [0.2121, 0.5000, 0.7121], [0.7879, 0.5000, 0.2879], [0.5000, 0.0000, 0.5000], [0.0045, 0.2039, 0.8006], [0.2068, 0.7068, 0.5000], [0.4033, 0.2039, 0.1994], [0.5000, 0.5000, 0.0000], [0.5967, 0.7961, 0.8006], [0.7932, 0.2932, 0.5000], [0.9955, 0.7961, 0.1994]]}

=====

[3]
{"formula": "La2Nd3Sm5", "functional": "PBE", "state": "optimized geometry", "total_energy_ev_per_atom": -4.7410, "lattice": [[6.1540, -8.3472, 0.0000], [6.1540, 8.3472, 0.0000], [-0.4365, 0.0000, 6.8389]], "species": ["La", "La", "La", "La", "Nd", "Nd", "Nd", "Nd", "Nd", "Nd", "Sm", "Sm", "Sm", "Sm", "Sm", "Sm", "Sm", "Sm", "Sm", "Sm"], "frac_coords": [[0.1249, 0.6249, 0.8759], [0.3751, 0.8751, 0.6241], [0.6249, 0.1249, 0.3759], [0.8751, 0.3751, 0.1241], [0.0370, 0.9630, 0.7500], [0.2239, 0.5263, 0.3752], [0.4737, 0.7761, 0.1248], [0.5263, 0.2239, 0.8752], [0.7761, 0.4737, 0.6248], [0.9630, 0.0370, 0.2500], [0.0253, 0.7237, 0.3751], [0.2130, 0.2878, 0.0005], [0.2763, 0.9747, 0.1249], [0.2878, 0.2130, 0.5005], [0.4626, 0.5374, 0.7500], [0.5374, 0.4626, 0.2500], [0.7122, 0.7870, 0.4995], [0.7237, 0.0253, 0.8751], [0.7870, 0.7122, 0.9995], [0.9747, 0.2763, 0.6249]]}

=====

[4]
{"formula": "La4NdSm", "functional": "PBE", "state": "optimized geometry", "total_energy_ev_per_atom": -4.7264, "lattice": [[3.3335, -8.9538, 0.0000], [3.3335, 8.9538, 0.0000], [-0.0141, 0.0000, 3.6125]], "species": ["La", "La", "La", "La", "Nd", "Sm"], "frac_coords": [[0.0855, 0.4130, 0.2962], [0.4130, 0.0855, 0.2962], [0.5870, 0.9145, 0.7038], [0.9145, 0.5870, 0.7038], [0.5000, 0.5000, 0.0000], [0.0000, 0.0000, 0.0000]]}

=====

[5]
{"formula": "La5Nd3Sm4", "functional": "PBE", "state": "optimized geometry", "total_energy_ev_per_atom": -4.6050, "lattice": [[9.3054, -2.9623, 0.0000], [9.3054, 2.9623, 0.0000], [-4.3778, 0.0000, 7.9105]], "species": ["La", "La", "La", "La", "La", "Nd", "Nd", "Nd", "Sm", "Sm", "Sm", "Sm"], "frac_coords": [[0.0000, 0.0000, 0.0000], [0.3354, 0.3354, 0.1044], [0.3952, 0.3952, 0.5741], [0.6048, 0.6048, 0.4259], [0.6646, 0.6646, 0.8956], [0.1839, 0.1839, 0.2213], [0.5000, 0.5000, 0.0000], [0.8161, 0.8161, 0.7787], [0.0317, 0.0317, 0.7024], [0.1998, 0.1998, 0.6444], [0.8002, 0.8002, 0.3556], [0.9683, 0.9683, 0.2976]]}

=====

[6]
{"formula": "La4Nd2Sm5", "functional": "PBE", "state": "optimized geometry", "total_energy_ev_per_atom": -4.5756, "lattice": [[-1.7881, 4.7419, 11.6746], [1.7881, -4.7419, 11.6746], [1.7881, 4.7419, -11.6746]], "species": ["La", "La", "La", "La", "Nd", "Nd", "Sm", "Sm", "Sm", "Sm", "Sm"], "frac_coords": [[0.0936, 0.0936, 0.0000], [0.2086, 0.5000, 0.7086], [0.7914, 0.5000, 0.2914], [0.9064, 0.9064, 0.0000], [0.2286, 0.2286, 0.0000], [0.7714, 0.7714, 0.0000], [0.1575, 0.3529, 0.8046], [0.4517, 0.6471, 0.8046], [0.5000, 0.0000, 0.5000], [0.5483, 0.3529, 0.1954], [0.8425, 0.6471, 0.1954]]}

=====

[7]
{"formula": "La8NdSm6", "functional": "PBE", "state": "optimized geometry", "total_energy_ev_per_atom": -4.7012, "lattice": [[4.8079, 2.7758, 6.6952], [-4.8079, 2.7758, 6.6952], [0.0000, -5.5517, 6.6952]], "species": ["La", "La", "La", "La", "La", "La", "La", "La", "Nd", "Sm", "Sm", "Sm", "Sm", "Sm", "Sm"], "frac_coords": [[0.0750, 0.0750, 0.0750], [0.1557, 0.2703, 0.5821], [0.2703, 0.5821, 0.1557], [0.4179, 0.8443, 0.7297], [0.5821, 0.1557, 0.2703], [0.7297, 0.4179, 0.8443], [0.8443, 0.7297, 0.4179], [0.9250, 0.9250, 0.9250], [0.5000, 0.5000, 0.5000], [0.0647, 0.6047, 0.7663], [0.2337, 0.9353, 0.3953], [0.3953, 0.2337, 0.9353], [0.6047, 0.7663, 0.0647], [0.7663, 0.0647, 0.6047], [0.9353, 0.3953, 0.2337]]}

=====

[8]
{"formula": "La2Nd5Sm3", "functional": "PBE", "state": "optimized geometry", "total_energy_ev_per_atom": -4.6159, "lattice": [[5.5800, -8.5662, 0.0000], [5.5800, 8.5662, 0.0000], [-5.5754, 0.0000, 7.4247]], "species": ["La", "La", "La", "La", "Nd", "Nd", "Nd", "Nd", "Nd", "Nd", "Nd", "Nd", "Nd", "Nd", "Sm", "Sm", "Sm", "Sm", "Sm", "Sm"], "frac_coords": [[0.0270, 0.2790, 0.0531], [0.2790, 0.0270, 0.5531], [0.7210, 0.9730, 0.4469], [0.9730, 0.7210, 0.9469], [0.0248, 0.9752, 0.7500], [0.1198, 0.3758, 0.7466], [0.2182, 0.7818, 0.7500], [0.3758, 0.1198, 0.2466], [0.4705, 0.5295, 0.2500], [0.5295, 0.4705, 0.7500], [0.6242, 0.8802, 0.7534], [0.7818, 0.2182, 0.2500], [0.8802, 0.6242, 0.2534], [0.9752, 0.0248, 0.2500], [0.2366, 0.4890, 0.4724], [0.2766, 0.7234, 0.2500], [0.4890, 0.2366, 0.9724], [0.5110, 0.7634, 0.0276], [0.7234, 0.2766, 0.7500], [0.7634, 0.5110, 0.5276]]}